(1)
DFT (PBE) results for TaVGe2Se after structural relaxation.

Crystal system: tetragonal
Magnetic moment, μB per cell: 0.00
Formation energy without anion corrections, meV/atom: 917

CIF file:
```
data_TaVGe2Se
_cell_length_a 4.7287
_cell_length_b 4.7287
_cell_length_c 4.5540
_cell_angle_alpha 90.00
_cell_angle_beta 90.00
_cell_angle_gamma 90.00
_space_group_name_H-M_alt 'P 4/m m m'
_space_group_IT_number 123
_space_group_name_Hall '-P 4 2'
loop_
_atom_site_label
_atom_site_type_symbol
_atom_site_fract_x
_atom_site_fract_y
_atom_site_fract_z
_atom_site_occupancy
Ta1 Ta 0.0000 0.0000 0.0000 1
V1 V 0.5000 0.5000 0.5000 1
Ge1 Ge 0.0000 0.5000 0.5000 1
Se1 Se 0.5000 0.5000 0.0000 1
```



(2)
DFT (PBE) results for TbGeSe3 after structural relaxation.

Crystal system: orthorhombic
Magnetic moment, μB per cell: 0.00
Formation energy without anion corrections, meV/atom: -985
Energy relative to the lowest polymorph listed for this composition, eV per atom: 0.000

CIF file:
```
data_TbGeSe3
_cell_length_a 4.4387
_cell_length_b 22.5010
_cell_length_c 6.5112
_cell_angle_alpha 90.00
_cell_angle_beta 90.00
_cell_angle_gamma 90.00
_space_group_name_H-M_alt 'A m a 2'
_space_group_IT_number 40
loop_
_space_group_symop_operation_xyz
'x,y,z'
'-x,-y,z'
'-x+1/2,y,z'
'x+1/2,-y,z'
'x,y+1/2,z+1/2'
'-x,-y+1/2,z+1/2'
'-x+1/2,y+1/2,z+1/2'
'x+1/2,-y+1/2,z+1/2'
loop_
_atom_site_label
_atom_site_type_symbol
_atom_site_fract_x
_atom_site_fract_y
_atom_site_fract_z
_atom_site_occupancy
Tb1 Tb 0.2500 0.1722 0.0000 1
Ge1 Ge 0.2500 0.3830 0.9235 1
Se1 Se 0.2500 0.0781 0.3029 1
Se2 Se 0.2500 0.2811 0.7589 1
Se3 Se 0.2500 0.3830 0.2990 1
```



(3)
DFT (PBE) results for Tb4GeSe2 after structural relaxation.

Crystal system: orthorhombic
Magnetic moment, μB per cell: 0.00
Formation energy without anion corrections, meV/atom: -1220

CIF file:
```
data_Tb4GeSe2
_cell_length_a 7.2560
_cell_length_b 12.1250
_cell_length_c 4.2237
_cell_angle_alpha 90.00
_cell_angle_beta 90.00
_cell_angle_gamma 90.00
_space_group_name_H-M_alt 'P b a m'
_space_group_IT_number 55
loop_
_space_group_symop_operation_xyz
'x,y,z'
'-x,-y,-z'
'-x,-y,z'
'x,y,-z'
'x+1/2,-y+1/2,-z'
'-x+1/2,y+1/2,z'
'-x+1/2,y+1/2,-z'
'x+1/2,-y+1/2,z'
loop_
_atom_site_label
_atom_site_type_symbol
_atom_site_fract_x
_atom_site_fract_y
_atom_site_fract_z
_atom_site_occupancy
Tb1 Tb 0.1157 0.2138 0.0000 1
Tb2 Tb 0.2478 0.9489 0.5000 1
Ge1 Ge 0.0000 0.0000 0.0000 1
Se1 Se 0.1034 0.6838 0.5000 1
```



(4)
DFT (PBE) results for Tb6GeSe5 after structural relaxation.

Crystal system: monoclinic
Magnetic moment, μB per cell: 0.00
Formation energy without anion corrections, meV/atom: -1693

CIF file:
```
data_Tb6GeSe5
_cell_length_a 7.1245
_cell_length_b 12.3250
_cell_length_c 7.1493
_cell_angle_alpha 90.00
_cell_angle_beta 109.30
_cell_angle_gamma 90.00
_space_group_name_H-M_alt 'C 1 2/m 1'
_space_group_IT_number 12
loop_
_space_group_symop_operation_xyz
'x,y,z'
'-x,-y,-z'
'-x,y,-z'
'x,-y,z'
'x+1/2,y+1/2,z'
'-x+1/2,-y+1/2,-z'
'-x+1/2,y+1/2,-z'
'x+1/2,-y+1/2,z'
loop_
_atom_site_label
_atom_site_type_symbol
_atom_site_fract_x
_atom_site_fract_y
_atom_site_fract_z
_atom_site_occupancy
Tb1 Tb 0.2427 0.0000 0.2571 1
Tb2 Tb 0.2426 0.1621 0.7429 1
Ge1 Ge 0.0000 0.0000 0.5000 1
Se1 Se 0.0000 0.1688 0.0000 1
Se2 Se 0.0000 0.3335 0.5000 1
Se3 Se 0.0000 0.5000 0.0000 1
```



Please write out number 4 again, unchanged.
DFT (PBE) results for Tb6GeSe5 after structural relaxation.

Crystal system: monoclinic
Magnetic moment, μB per cell: 0.00
Formation energy without anion corrections, meV/atom: -1693

CIF file:
```
data_Tb6GeSe5
_cell_length_a 7.1245
_cell_length_b 12.3250
_cell_length_c 7.1493
_cell_angle_alpha 90.00
_cell_angle_beta 109.30
_cell_angle_gamma 90.00
_space_group_name_H-M_alt 'C 1 2/m 1'
_space_group_IT_number 12
loop_
_space_group_symop_operation_xyz
'x,y,z'
'-x,-y,-z'
'-x,y,-z'
'x,-y,z'
'x+1/2,y+1/2,z'
'-x+1/2,-y+1/2,-z'
'-x+1/2,y+1/2,-z'
'x+1/2,-y+1/2,z'
loop_
_atom_site_label
_atom_site_type_symbol
_atom_site_fract_x
_atom_site_fract_y
_atom_site_fract_z
_atom_site_occupancy
Tb1 Tb 0.2427 0.0000 0.2571 1
Tb2 Tb 0.2426 0.1621 0.7429 1
Ge1 Ge 0.0000 0.0000 0.5000 1
Se1 Se 0.0000 0.1688 0.0000 1
Se2 Se 0.0000 0.3335 0.5000 1
Se3 Se 0.0000 0.5000 0.0000 1
```



What is the formula in the first record?
TaVGe2Se